1.
Density functional theory data (PBE) for a relaxed structure of Mg2TeRh.

Calculated values
- crystal system = orthorhombic
- uncorrected formation energy (eV per atom) = -0.299

Lattice parameters (Å, degrees): 5.253 5.253 5.253 133.24 133.64 67.97
Fractional positions:
Mg 0.999 0.999 0.000
Mg 0.501 0.501 0.000
Te 0.750 0.250 0.500
Rh 0.250 0.750 0.500

***

2.
Density functional theory data (PBE) for a relaxed structure of MgTe2Rh.

Calculated values
- crystal system = trigonal
- uncorrected formation energy (eV per atom) = -0.412

Lattice parameters (Å, degrees): 4.063 4.063 6.977 73.09 73.09 60.01
Fractional positions:
Mg 0.750 0.750 0.750
Te 0.988 0.988 0.037
Te 0.512 0.512 0.463
Rh 0.250 0.250 0.250

***

3.
Density functional theory data (PBE) for a relaxed structure of Mg2TeRh.

Calculated values
- crystal system = tetragonal
- uncorrected formation energy (eV per atom) = -0.232

Lattice parameters (Å, degrees): 3.640 3.640 6.018 90.00 90.00 90.00
Fractional positions:
Te 0.500 0.500 0.748
Mg 0.000 0.000 0.006
Mg 0.500 0.500 0.284
Rh 0.000 0.000 0.462

***

4.
Density functional theory data (PBE) for a relaxed structure of MgTe2Rh.

Calculated values
- crystal system = tetragonal
- uncorrected formation energy (eV per atom) = -0.128

Lattice parameters (Å, degrees): 5.008 5.006 3.361 90.00 90.00 90.00
Fractional positions:
Te 0.500 0.500 0.000
Te 0.000 0.000 0.000
Mg 0.500 0.000 0.500
Rh 0.000 0.500 0.500

***

5.
Density functional theory data (PBE) for a relaxed structure of MgTeRh2.

Calculated values
- E above lowest polymorph (meV per atom) = 59
- crystal system = orthorhombic
- uncorrected formation energy (eV per atom) = -0.307

Lattice parameters (Å, degrees): 3.344 3.327 6.103 90.00 90.00 90.00
Fractional positions:
Rh 0.000 0.000 0.002
Rh 0.000 0.000 0.498
Mg 0.500 0.500 0.750
Te 0.500 0.500 0.250

***

6.
Density functional theory data (PBE) for a relaxed structure of Mg2TeRh.

Calculated values
- crystal system = orthorhombic
- uncorrected formation energy (eV per atom) = -0.586

Lattice parameters (Å, degrees): 4.513 12.620 6.115 90.00 90.00 90.00
Fractional positions:
Rh 0.500 0.000 0.500
Rh 0.500 0.000 0.000
Rh 0.000 0.500 0.500
Rh 0.000 0.500 0.000
Te 0.000 0.326 0.750
Te 0.000 0.674 0.250
Te 0.500 0.826 0.750
Te 0.500 0.174 0.250
Mg 0.000 0.677 0.750
Mg 0.000 0.001 0.750
Mg 0.000 0.323 0.250
Mg 0.500 0.499 0.250
Mg 0.500 0.177 0.750
Mg 0.500 0.501 0.750
Mg 0.000 0.999 0.250
Mg 0.500 0.823 0.250

***

7.
Density functional theory data (PBE) for a relaxed structure of MgTeRh2.

Calculated values
- E above lowest polymorph (meV per atom) = 18
- crystal system = monoclinic
- uncorrected formation energy (eV per atom) = -0.347

Lattice parameters (Å, degrees): 5.016 5.016 4.451 76.38 76.38 38.64
Fractional positions:
Mg 0.254 0.254 0.183
Te 0.493 0.493 0.567
Rh 0.762 0.762 0.681
Rh 0.991 0.991 0.069

***

8.
Density functional theory data (PBE) for a relaxed structure of MgTe2Rh.

Calculated values
- crystal system = tetragonal
- uncorrected formation energy (eV per atom) = -0.325

Lattice parameters (Å, degrees): 3.505 3.505 7.866 90.00 90.00 90.00
Fractional positions:
Mg 0.000 0.000 0.530
Te 0.000 0.000 0.893
Te 0.500 0.500 0.338
Rh 0.500 0.500 0.738